(1)
{"formula": "Ce5PuAl3", "functional": "PBE", "state": "optimized geometry", "lattice_angstrom": [[-4.208, 4.208, 6.422], [4.208, -4.208, 6.422], [4.208, 4.208, -6.422]], "species": ["Ce", "Ce", "Ce", "Ce", "Ce", "Ce", "Ce", "Ce", "Ce", "Ce", "Pu", "Pu", "Al", "Al", "Al", "Al", "Al", "Al"], "fractional_positions": [[0.000, 0.000, 0.000], [0.044, 0.544, 0.886], [0.157, 0.044, 0.500], [0.343, 0.843, 0.886], [0.456, 0.343, 0.500], [0.500, 0.500, 0.000], [0.544, 0.657, 0.500], [0.657, 0.157, 0.114], [0.843, 0.956, 0.500], [0.956, 0.456, 0.114], [0.250, 0.750, 0.500], [0.750, 0.250, 0.500], [0.108, 0.392, 0.500], [0.250, 0.250, 0.000], [0.392, 0.892, 0.284], [0.608, 0.108, 0.716], [0.750, 0.750, 0.000], [0.892, 0.608, 0.500]], "formation_energy_mev_per_atom": -149.9}


(2)
{"formula": "SrLiSnPd3", "functional": "PBE", "state": "optimized geometry", "lattice_angstrom": [[3.013, -6.120, 0.000], [3.013, 6.120, 0.000], [0.000, 0.000, 6.658]], "species": ["Sr", "Sr", "Li", "Li", "Sn", "Sn", "Pd", "Pd", "Pd", "Pd", "Pd", "Pd"], "fractional_positions": [[0.190, 0.810, 0.750], [0.810, 0.190, 0.250], [0.428, 0.572, 0.750], [0.572, 0.428, 0.250], [0.130, 0.870, 0.250], [0.870, 0.130, 0.750], [0.242, 0.242, 0.000], [0.242, 0.242, 0.500], [0.349, 0.651, 0.250], [0.651, 0.349, 0.750], [0.758, 0.758, 0.000], [0.758, 0.758, 0.500]], "formation_energy_mev_per_atom": -486.7}


(3)
{"formula": "Re2HgMo", "functional": "PBE", "state": "optimized geometry", "lattice_angstrom": [[2.869, 0.000, 0.000], [0.000, 4.017, 0.000], [-0.032, 0.000, 5.793]], "species": ["Re", "Re", "Hg", "Mo"], "fractional_positions": [[0.000, 0.000, 0.000], [0.470, 0.500, 0.798], [0.490, 0.500, 0.293], [0.003, 0.000, 0.576]], "formation_energy_mev_per_atom": 430.7}


(4)
{"formula": "Tm2Si4Ir3Ru", "functional": "PBE", "state": "optimized geometry", "lattice_angstrom": [[4.149, 0.000, 0.000], [0.000, 4.149, 0.000], [0.000, 0.000, 9.648]], "species": ["Tm", "Tm", "Si", "Si", "Si", "Si", "Ir", "Ir", "Ir", "Ru"], "fractional_positions": [[0.000, 0.500, 0.249], [0.500, 0.000, 0.751], [0.000, 0.000, 0.000], [0.000, 0.500, 0.626], [0.500, 0.000, 0.374], [0.500, 0.500, 0.000], [0.000, 0.500, 0.871], [0.500, 0.000, 0.129], [0.500, 0.500, 0.500], [0.000, 0.000, 0.500]], "raw_formation_energy_mev_per_atom": -1007}


(5)
{"formula": "Ho4GaNi2", "functional": "PBE", "state": "optimized geometry", "lattice_angstrom": [[4.138, -7.237, 0.000], [4.138, 7.237, 0.000], [-4.113, 0.000, 5.275]], "species": ["Ho", "Ho", "Ho", "Ho", "Ho", "Ho", "Ho", "Ho", "Ga", "Ga", "Ni", "Ni", "Ni", "Ni"], "fractional_positions": [[0.033, 0.967, 0.500], [0.080, 0.431, 0.830], [0.342, 0.820, 0.685], [0.431, 0.080, 0.330], [0.502, 0.574, 0.372], [0.574, 0.502, 0.872], [0.820, 0.342, 0.185], [0.967, 0.033, 0.000], [0.647, 0.912, 0.203], [0.912, 0.647, 0.703], [0.027, 0.695, 0.134], [0.185, 0.362, 0.476], [0.362, 0.185, 0.976], [0.695, 0.027, 0.634]], "formation_energy_mev_per_atom": -386.3}


(6)
{"formula": "LaPrDyY", "functional": "PBE", "state": "optimized geometry", "lattice_angstrom": [[0.000, 4.102, 4.102], [4.102, 0.000, 4.102], [4.102, 4.102, 0.000]], "species": ["La", "Pr", "Dy", "Y"], "fractional_positions": [[0.000, 0.000, 0.000], [0.500, 0.500, 0.500], [0.250, 0.250, 0.250], [0.750, 0.750, 0.750]], "formation_energy_mev_per_atom": 92.6, "e_above_lowest_polymorph_mev_per_atom": 63.6}